Here is crystalline SrAc2CrO6 at its relaxed geometry from Alexandria. Energies are from GGA+U.

Unit cell a=5.241 b=5.720 c=5.720 alpha=90.00 beta=90.00 gamma=90.00
Element x y z (fractional)
O: 0.728 0.775 0.225
O: 0.728 0.225 0.775
O: 0.728 0.775 0.775
O: 0.107 0.500 0.500
O: 0.728 0.225 0.225
O: 0.261 0.000 0.000
Sr: 0.559 0.500 0.500
Cr: 0.607 0.000 0.000
Ac: 0.001 0.500 0.000
Ac: 0.001 0.000 0.500

Crystal system: tetragonal
Fermi-level density of states in states/eV/f.u.: 5.87
Total DFT energy (no corrections) in eV per atom: -7.305
Space-group type: No. 99